Record 1
Ce2TlTeO8 | Alexandria via LeMat-Bulk | PBE | relaxed; final energy = -0.25039 hartree per atom; ΔE_f (raw) = -2.060 eV per atom; total magnetic moment = 0.31 μB per cell; SG = No. 65
1.0
3.5267 -3.5956 0.0000
3.5267 3.5956 0.0000
0.0000 0.0000 7.1976
Ce Tl Te O
2 1 1 8
Direct
0.0000 0.0000 0.2476
0.0000 0.0000 0.7524
0.5000 0.5000 0.5000
0.5000 0.5000 0.0000
0.1823 0.1823 0.5000
0.2161 0.2161 0.0000
0.3140 0.6860 0.2017
0.3140 0.6860 0.7983
0.6860 0.3140 0.2017
0.6860 0.3140 0.7983
0.7839 0.7839 0.0000
0.8177 0.8177 0.5000


Record 2
LaBeRu | Alexandria via LeMat-Bulk | PBE | relaxed; final energy = -0.18124 hartree per atom; calculated formation energy = 100.8 kJ per mole of atoms; total magnetic moment = 0.00 μB per cell; energy relative to the lowest polymorph listed for this composition = 1327 meV/atom; SG = No. 216
1.0
0.0000 3.2108 3.2108
3.2108 0.0000 3.2108
3.2108 3.2108 0.0000
La Be Ru
1 1 1
Direct
0.0000 0.0000 0.0000
0.7500 0.7500 0.7500
0.2500 0.2500 0.2500


Record 3
GaPbAu2 | Alexandria via LeMat-Bulk | PBE | relaxed; final energy = -0.12723 hartree per atom; calculated formation energy = -13.5 kJ per mole of atoms; total magnetic moment = 0.00 μB per cell; SG = No. 59
1.0
3.9056 0.0000 0.0000
0.0000 6.9016 0.0000
0.0000 0.0000 6.8279
Ga Pb Au
2 2 4
Direct
0.2500 0.2500 0.0522
0.7500 0.7500 0.9478
0.2500 0.7500 0.3983
0.7500 0.2500 0.6017
0.2500 0.5354 0.7933
0.2500 0.9646 0.7933
0.7500 0.0354 0.2067
0.7500 0.4646 0.2067


Record 4
CeBrF3 | Alexandria via LeMat-Bulk | PBE | relaxed; final energy = -0.21276 hartree per atom; ΔE_f (raw) = -3.145 eV per atom; total magnetic moment = 0.00 μB per cell; SG = No. 12
1.0
5.1159 -3.5290 0.0000
5.1159 3.5290 0.0000
-4.6730 0.0000 5.6192
Ce Br F
2 2 6
Direct
0.2288 0.2288 0.0910
0.7712 0.7712 0.9090
0.4121 0.4121 0.6298
0.5879 0.5879 0.3702
0.0455 0.0455 0.2018
0.0564 0.4376 0.8381
0.4376 0.0564 0.8381
0.5624 0.9436 0.1619
0.9436 0.5624 0.1619
0.9545 0.9545 0.7982


Record 5
Cs2KRb6Se | Alexandria via LeMat-Bulk | PBE | relaxed; final energy = -0.05441 hartree per atom; ΔE_f (raw) = -0.271 eV per atom; total magnetic moment = 0.00 μB per cell; SG = No. 2
1.0
9.6462 0.0000 0.0000
4.8173 8.3766 0.0000
4.7924 2.7343 11.1736
Cs K Rb Se
2 1 6 1
Direct
0.2003 0.1995 0.4006
0.7997 0.8005 0.5994
0.5000 0.5000 0.5000
0.2182 0.2218 0.8345
0.2182 0.7377 0.8246
0.2735 0.7740 0.1666
0.7265 0.2260 0.8334
0.7818 0.2623 0.1754
0.7818 0.7782 0.1655
0.0000 0.0000 0.0000


Record 6
Sm8Bi2Pb | Alexandria via LeMat-Bulk | PBE | relaxed; final energy = -0.17733 hartree per atom; calculated formation energy = -33.8 kJ per mole of atoms; total magnetic moment = 0.00 μB per cell; SG = No. 12
1.0
9.4268 -2.5213 0.0000
9.4268 2.5213 0.0000
-0.0154 0.0000 7.5543
Sm Bi Pb
8 2 1
Direct
0.0149 0.0149 0.2524
0.2189 0.2189 0.3664
0.3350 0.3350 0.9377
0.4043 0.4043 0.4667
0.5957 0.5957 0.5333
0.6650 0.6650 0.0623
0.7811 0.7811 0.6336
0.9851 0.9851 0.7476
0.1682 0.1682 0.7914
0.8318 0.8318 0.2086
0.5000 0.5000 0.0000


Record 7
Co2TcRh | Alexandria via LeMat-Bulk | PBE | relaxed; final energy = -0.29063 hartree per atom; calculated formation energy = 7.1 kJ per mole of atoms; total magnetic moment = 1.74 μB per cell; energy relative to the lowest polymorph listed for this composition = 40 meV/atom; SG = No. 139
1.0
-1.8561 1.8561 3.6198
1.8561 -1.8561 3.6198
1.8561 1.8561 -3.6198
Co Tc Rh
2 1 1
Direct
0.2500 0.7500 0.5000
0.7500 0.2500 0.5000
0.0000 0.0000 0.0000
0.5000 0.5000 0.0000


Record 8
ErTmMgIr | Alexandria via LeMat-Bulk | PBE | relaxed; final energy = -0.19736 hartree per atom; calculated formation energy = -48.1 kJ per mole of atoms; total magnetic moment = 0.00 μB per cell; SG = No. 216
1.0
0.0000 3.5132 3.5132
3.5132 0.0000 3.5132
3.5132 3.5132 0.0000
Er Tm Mg Ir
1 1 1 1
Direct
0.0000 0.0000 0.0000
0.5000 0.5000 0.5000
0.7500 0.7500 0.7500
0.2500 0.2500 0.2500


Record 9
NdTm2HgC | Alexandria via LeMat-Bulk | PBE | relaxed; final energy = -0.18329 hartree per atom; calculated formation energy = -32.8 kJ per mole of atoms; total magnetic moment = 0.00 μB per cell; SG = No. 123
1.0
4.8121 0.0000 0.0000
0.0000 4.8121 0.0000
0.0000 0.0000 5.1590
Nd Tm Hg C
1 2 1 1
Direct
0.0000 0.0000 0.0000
0.0000 0.5000 0.5000
0.5000 0.0000 0.5000
0.5000 0.5000 0.0000
0.0000 0.0000 0.5000


Record 10
Th2Co3NiP4 | Alexandria via LeMat-Bulk | PBE | relaxed; final energy = -0.27247 hartree per atom; calculated formation energy = -101.9 kJ per mole of atoms; total magnetic moment = 0.70 μB per cell; SG = No. 115
1.0
4.0479 0.0000 0.0000
0.0000 4.0479 0.0000
0.0000 0.0000 9.0871
Th Co Ni P
2 3 1 4
Direct
0.0000 0.5000 0.2483
0.5000 0.0000 0.7517
0.0000 0.5000 0.8902
0.5000 0.0000 0.1098
0.5000 0.5000 0.5000
0.0000 0.0000 0.5000
0.0000 0.0000 0.0000
0.0000 0.5000 0.6327
0.5000 0.0000 0.3673
0.5000 0.5000 0.0000


Record 11
AlHgPdF6 | Alexandria via LeMat-Bulk | PBE | relaxed; final energy = -0.15972 hartree per atom; ΔE_f (raw) = -2.072 eV per atom; total magnetic moment = 2.16 μB per cell; SG = No. 163
1.0
5.7038 0.0000 0.0000
-2.8519 4.9397 0.0000
0.0000 0.0000 9.1283
Al Hg Pd F
2 2 2 12
Direct
0.3333 0.6667 0.2500
0.6667 0.3333 0.7500
0.3333 0.6667 0.7500
0.6667 0.3333 0.2500
0.0000 0.0000 0.0000
0.0000 0.0000 0.5000
0.0685 0.3992 0.1357
0.0685 0.6693 0.3643
0.3307 0.3992 0.3643
0.3307 0.9315 0.1357
0.3992 0.0685 0.6357
0.3992 0.3307 0.8643
0.6008 0.6693 0.1357
0.6008 0.9315 0.3643
0.6693 0.0685 0.8643
0.6693 0.6008 0.6357
0.9315 0.3307 0.6357
0.9315 0.6008 0.8643


Record 12
PmSc6S8 | Alexandria via LeMat-Bulk | PBE | relaxed; final energy = -0.24653 hartree per atom; ΔE_f (raw) = -1.658 eV per atom; total magnetic moment = 0.43 μB per cell; SG = No. 148
1.0
4.9976 2.8854 3.9254
-4.9976 2.8854 3.9254
0.0000 -5.7708 3.9254
Pm Sc S
1 6 8
Direct
0.0000 0.0000 0.0000
0.1906 0.5687 0.4015
0.4015 0.1906 0.5687
0.4313 0.5985 0.8094
0.5687 0.4015 0.1906
0.5985 0.8094 0.4313
0.8094 0.4313 0.5985
0.1377 0.3714 0.7291
0.2408 0.2408 0.2408
0.2709 0.8623 0.6286
0.3714 0.7291 0.1377
0.6286 0.2709 0.8623
0.7291 0.1377 0.3714
0.7592 0.7592 0.7592
0.8623 0.6286 0.2709


Record 13
Ce2PmYBi5 | Alexandria via LeMat-Bulk | PBE | relaxed; final energy = -0.17472 hartree per atom; calculated formation energy = -3.3 kJ per mole of atoms; total magnetic moment = 2.09 μB per cell; SG = No. 123
1.0
5.5672 0.0000 0.0000
0.0000 5.5672 0.0000
0.0000 0.0000 11.8942
Ce Pm Y Bi
2 1 1 5
Direct
0.0000 0.0000 0.2169
0.0000 0.0000 0.7831
0.5000 0.5000 0.0000
0.5000 0.5000 0.5000
0.0000 0.0000 0.5000
0.0000 0.5000 0.0000
0.5000 0.0000 0.0000
0.5000 0.5000 0.2556
0.5000 0.5000 0.7444